[1]
{"formula": "Cr3C2", "functional": "PBE", "state": "relaxed", "de_polymorph_mev_per_atom": 29.6, "crystal_system": "orthorhombic", "cell": [[-0.879, -2.776, 3.847], [2.245, 0.353, -4.256], [5.577, 2.611, 3.159]], "species": ["C", "C", "C", "C", "Cr", "Cr", "Cr", "Cr", "Cr", "Cr"], "frac_coords": [[0.500, 0.500, 0.000], [0.500, 0.500, 0.500], [0.248, 0.752, 0.750], [0.752, 0.248, 0.250], [0.600, 0.400, 0.750], [0.400, 0.600, 0.250], [0.857, 0.143, 0.930], [0.143, 0.857, 0.430], [0.857, 0.143, 0.570], [0.143, 0.857, 0.070]]}

[2]
{"formula": "CrC3", "functional": "PBE", "state": "relaxed", "de_polymorph_mev_per_atom": 2065.7, "crystal_system": "cubic", "cell": [[-2.682, -2.207, 0.819], [0.626, -2.923, 1.949], [-1.190, -0.193, 3.359]], "species": ["Cr", "C", "C", "C"], "frac_coords": [[0.750, 0.750, 0.750], [0.000, 0.000, 0.000], [0.250, 0.250, 0.250], [0.500, 0.500, 0.500]]}

[3]
{"formula": "Cr3C2", "functional": "PBE", "state": "relaxed", "de_polymorph_mev_per_atom": 166.6, "crystal_system": "trigonal", "cell": [[-5.742, 3.003, -2.019], [-4.690, 1.974, -4.491], [-6.201, 0.258, -2.746]], "species": ["Cr", "Cr", "Cr", "C", "C"], "frac_coords": [[0.000, 0.000, 0.000], [0.779, 0.779, 0.779], [0.221, 0.221, 0.221], [0.395, 0.395, 0.395], [0.605, 0.605, 0.605]]}

[4]
{"formula": "CrC", "functional": "PBE", "state": "relaxed", "crystal_system": "cubic", "cell": [[-3.109, 1.526, 1.270], [-2.779, -2.145, 1.131], [-0.825, -0.210, 3.589]], "species": ["Cr", "Cr", "C", "C"], "frac_coords": [[0.500, 0.500, 0.500], [0.750, 0.750, 0.750], [0.000, 0.000, 0.000], [0.250, 0.250, 0.250]]}

[5]
{"formula": "CrC", "functional": "PBE", "state": "relaxed", "crystal_system": "hexagonal", "cell": [[-3.022, -3.228, -1.096], [2.939, -0.695, 3.412], [-1.967, 1.184, 1.935]], "species": ["Cr", "Cr", "Cr", "C", "C", "C"], "frac_coords": [[0.000, 0.000, 0.000], [0.333, 0.667, 0.500], [0.667, 0.333, 0.500], [0.500, 0.000, 0.000], [0.000, 0.500, 0.000], [0.500, 0.500, 0.000]]}

[6]
{"formula": "CrC", "functional": "PBE", "state": "relaxed", "crystal_system": "orthorhombic", "cell": [[2.841, 0.000, 0.000], [0.000, 8.724, 0.000], [0.000, 0.000, 5.332]], "species": ["Cr", "Cr", "Cr", "Cr", "Cr", "Cr", "C", "C", "C", "C", "C", "C"], "frac_coords": [[0.000, 0.286, 0.889], [0.000, 0.714, 0.889], [0.000, 0.786, 0.389], [0.000, 0.214, 0.389], [0.500, 0.000, 0.589], [0.500, 0.500, 0.089], [0.500, 0.778, 0.644], [0.500, 0.222, 0.644], [0.500, 0.278, 0.144], [0.500, 0.722, 0.144], [0.000, 0.000, 0.346], [0.000, 0.500, 0.846]]}

[7]
{"formula": "CrC3", "functional": "PBE", "state": "relaxed", "de_polymorph_mev_per_atom": 1456.9, "crystal_system": "cubic", "cell": [[-0.889, -3.509, -1.006], [2.460, -1.341, 2.503], [-2.697, -0.067, 2.615]], "species": ["Cr", "C", "C", "C"], "frac_coords": [[0.000, 0.000, 0.000], [0.500, 0.000, 0.000], [0.000, 0.500, 0.000], [0.000, 0.000, 0.500]]}

[8]
{"formula": "Cr7C6", "functional": "PBE", "state": "relaxed", "crystal_system": "trigonal", "cell": [[7.103, 0.007, 0.004], [5.483, 4.515, 0.004], [5.483, 1.970, 4.063]], "species": ["Cr", "Cr", "Cr", "Cr", "Cr", "Cr", "Cr", "C", "C", "C", "C", "C", "C"], "frac_coords": [[0.579, 0.065, 0.579], [0.579, 0.579, 0.065], [0.065, 0.579, 0.579], [0.421, 0.935, 0.421], [0.935, 0.421, 0.421], [0.421, 0.421, 0.935], [0.500, 0.500, 0.500], [0.102, 0.102, 0.102], [0.898, 0.898, 0.898], [0.176, 0.176, 0.176], [0.824, 0.824, 0.824], [0.335, 0.335, 0.335], [0.665, 0.665, 0.665]]}

Number 1: N(E_F) 7.320 states/eV per cell, E -95.526 eV for the cell shown. Number 2: N(E_F) 2.591 states/eV per cell, E -26.192 eV for the cell shown. Number 3: N(E_F) 5.320 states/eV per cell, E -47.078 eV for the cell shown. Number 4: N(E_F) 0.759 states/eV per cell, E -31.040 eV for the cell shown. Number 5: N(E_F) 4.501 states/eV per cell, E -52.601 eV for the cell shown. Number 6: N(E_F) 5.377 states/eV per cell, E -108.482 eV for the cell shown. Number 7: N(E_F) 2.180 states/eV per cell, E -28.627 eV for the cell shown. Number 8: N(E_F) 7.595 states/eV per cell, E -112.037 eV for the cell shown.